# meta-GGA SCAN LaGe3Ru, single point on PBEsol structure
# Space group: No. 107
# DOS at the Fermi energy (states/eV/f.u.): 1.77
# Magnetization (μB per formula unit): 0.0
# DFT formation energy (eV/atom): -0.7470
data_LaGe3Ru
_chemical_formula_sum 'La1 Ge3 Ru1'
_space_group_name_H-M_alt 'P 1'
_space_group_IT_number 1
_cell_length_a 5.9209
_cell_length_b 5.9209
_cell_length_c 5.9209
_cell_angle_alpha 136.52
_cell_angle_beta 136.52
_cell_angle_gamma 63.17
loop_
_space_group_symop_operation_xyz
'x,y,z'
loop_
_atom_site_label
_atom_site_type_symbol
_atom_site_fract_x
_atom_site_fract_y
_atom_site_fract_z
_atom_site_occupancy
La1 La 0.0000 0.0000 0.0000 1
Ge1 Ge 0.2391 0.7391 0.5000 1
Ge2 Ge 0.5749 0.5749 0.0000 1
Ge3 Ge 0.7391 0.2391 0.5000 1
Ru1 Ru 0.3409 0.3409 0.0000 1